The following is a DFT calculation (PBE) of a relaxed structure of TaCoCuRu.

Calculated values
ΔH_f (0 K) = -0.0799 eV/atom
Electronic total energy = -130.60 eV/cell
Polymorph energy (0 for the lowest one) = 67.7 meV per atom

Lattice parameters (Å, degrees): 6.029 6.029 6.029 90.00 90.00 90.00
Space group F-43m (No. 216)
Inequivalent atoms, fractional coordinates:
Ta: 0.000 0.000 0.000
Co: 0.250 0.250 0.750
Cu: 0.000 0.000 0.500
Ru: 0.250 0.250 0.250

The following is a DFT calculation (PBE) of a relaxed structure of CeTlInSe4.

Calculated values
Electronic total energy = -62.64 eV/cell

Lattice parameters (Å, degrees): 7.038 7.043 9.178 90.00 108.35 90.00
Space group P2_1/m (No. 11)
Inequivalent atoms, fractional coordinates:
Ce: 0.224 0.250 0.054
Tl: 0.250 0.250 0.553
In: 0.235 0.750 0.825
Se: 0.030 0.520 0.210
Se: 0.457 0.750 0.651
Se: 0.481 0.750 0.103

The following is a DFT calculation (PBE) of a relaxed structure of VCoB2W.

Calculated values
ΔH_f (0 K) = 1.7077 eV/atom
Electronic total energy = -33.99 eV/cell

Lattice parameters (Å, degrees): 3.897 3.897 4.572 90.00 90.00 90.00
Space group P4/mmm (No. 123)
Inequivalent atoms, fractional coordinates:
V: 0.000 0.000 0.000
Co: 0.500 0.500 0.500
B: 0.000 0.500 0.000
W: 0.000 0.000 0.500